{"formula": "Sr3LaSm2Te6", "functional": "PBE-GGA", "state": "relaxed", "total_magnetization_mub_per_atom": 0.000, "formation_energy_uncorrected_ev_per_atom": -1.567, "spacegroup": "C2/m, No. 12", "cell": [[3.952, -6.839, 0.000], [3.952, 6.839, 0.000], [-2.637, 0.000, 7.648]], "species": ["Sr", "Sr", "Sr", "La", "Sm", "Sm", "Te", "Te", "Te", "Te", "Te", "Te"], "frac_coords": [[0.000, 0.000, 0.000], [0.335, 0.665, 0.000], [0.665, 0.335, 0.000], [0.500, 0.500, 0.500], [0.167, 0.833, 0.500], [0.833, 0.167, 0.500], [0.081, 0.420, 0.260], [0.241, 0.241, 0.739], [0.420, 0.081, 0.260], [0.580, 0.919, 0.740], [0.759, 0.759, 0.261], [0.919, 0.580, 0.740]]}